Computed, not measured: a geometry-optimized TmScSnC structure at the PBE-GGA level of DFT.

Results
- E above lowest polymorph: 0.01 eV/f.u.
- Uncorrected energy: -6.629 eV/atom
- Theoretical density: 7.188 Mg/m³

Geometry as POSCAR:
```
TmScSnC
1.0
3.469 0.000 0.000
-1.735 3.004 0.000
0.000 0.000 15.276
Tm Sc Sn C
2 2 2 2
direct
0.333 0.667 0.413
0.667 0.333 0.587
0.333 0.667 0.078
0.667 0.333 0.922
0.333 0.667 0.759
0.667 0.333 0.241
0.000 0.000 0.000
0.000 0.000 0.500
```